Ca2TaCdBi: optimized geometry, PBE.

Results
The calculated volume is 179.3 Å³/cell. The space group is P4/mmm (123). The calculation puts the density of states at the Fermi level at 0.76 states/eV per atom. Its energy of formation is 1.05 eV/atom.

Lattice parameters (Å, degrees): 5.735 5.451 5.735 90.00 90.00 90.00
Last column: magnetic moment on the atom in μB.
Fractional positions:
Bi (0.000, 0.500, 0.000)  -0.06
Ta (0.500, 0.500, 0.500)  2.02
Ca (0.000, 0.000, 0.500)  0.03
Cd (0.000, 0.000, 0.000)  -0.01
Ca (0.500, 0.000, 0.000)  0.03